# CaFeSiO5 (PBE+U, relaxed)
data_CaFeSiO5
_cell_length_a 5.520
_cell_length_b 6.978
_cell_length_c 8.852
_cell_angle_alpha 89.78
_cell_angle_beta 143.28
_cell_angle_gamma 76.31
_symmetry_space_group_name_H-M 'P 1'
_symmetry_Int_Tables_number 1
_symmetry_space_group_name_Hall 'P 1'
loop_
_atom_site_label
_atom_site_fract_x
_atom_site_fract_y
_atom_site_fract_z
_atom_site_occupancy
Ca1 0.499 0.247 0.169 1
Ca2 0.494 0.744 0.830 1
Fe1 0.497 0.496 0.499 1
Fe2 0.497 0.996 0.499 1
Si1 0.497 0.245 0.817 1
Si2 0.496 0.747 0.181 1
O1 0.291 0.110 0.610 1
O2 0.707 0.379 0.817 1
O3 0.702 0.882 0.388 1
O4 0.286 0.612 0.181 1
O5 0.863 0.584 0.247 1
O6 0.129 0.907 0.878 1
O7 0.130 0.407 0.751 1
O8 0.864 0.085 0.120 1
O9 0.498 0.745 0.571 1
O10 0.495 0.247 0.427 1
# E_tot: -6.99 eV/atom
# space-group type: P-1